1.
VASP calculation (PBE) on a relaxed Rb3PdAu2I8 crystal.

Lattice parameters (Å, degrees): 7.993 7.993 10.797 90.00 90.00 120.00
Fractional positions:
I: 0.676 0.838 0.343
I: 0.162 0.838 0.343
I: 0.324 0.162 0.657
I: 0.838 0.162 0.657
Au: 0.333 0.667 0.194
Rb: 0.000 0.000 0.000
I: 0.162 0.324 0.343
Pd: 0.000 0.000 0.500
I: 0.667 0.333 0.049
Rb: 0.333 0.667 0.615
I: 0.333 0.667 0.951
Rb: 0.667 0.333 0.385
I: 0.838 0.676 0.657
Au: 0.667 0.333 0.806

=====

2.
VASP calculation (PBE) on a relaxed Rb3PdAu2I9 crystal.

Lattice parameters (Å, degrees): 8.155 8.155 9.942 90.00 90.00 120.00
Fractional positions:
I: 0.000 0.500 0.000
I: 0.500 0.500 0.000
I: 0.327 0.163 0.661
Rb: 0.000 0.000 0.000
Pd: 0.000 0.000 0.500
Rb: 0.333 0.667 0.664
I: 0.837 0.673 0.661
Au: 0.667 0.333 0.831
Au: 0.333 0.667 0.169
I: 0.500 0.000 0.000
Rb: 0.667 0.333 0.336
I: 0.673 0.837 0.339
I: 0.163 0.837 0.339
I: 0.163 0.327 0.339
I: 0.837 0.163 0.661

=====

3.
VASP calculation (PBE) on a relaxed Rb2PdAuI crystal.

Lattice parameters (Å, degrees): 6.905 5.474 6.905 90.00 90.00 90.00
Fractional positions:
Rb: 0.000 0.000 0.500
Au: 0.000 0.500 0.000
Pd: 0.500 0.500 0.500
Rb: 0.500 0.000 0.000
I: 0.000 0.000 0.000

=====

4.
VASP calculation (PBE) on a relaxed PdRu2AuI crystal.

Lattice parameters (Å, degrees): 4.815 5.137 4.815 90.00 90.00 90.00
Site moments in Bohr magnetons follow the coordinates.
Fractional positions:
I: 0.000 0.000 0.000  0.01
Pd: 0.500 0.500 0.500  0.24
Ru: 0.500 0.000 0.000  1.51
Au: 0.000 0.500 0.000  0.01
Ru: 0.000 0.000 0.500  1.09

=====

5.
VASP calculation (PBE) on a relaxed Sb2PdAuI crystal.

Output
The energy above the most stable polymorph in this dataset is 0 meV per atom.

Lattice parameters (Å, degrees): 5.231 5.231 5.442 90.00 90.00 90.00
Fractional positions:
I: 0.000 0.000 0.500
Sb: 0.500 0.000 0.000
Pd: 0.000 0.000 0.000
Sb: 0.000 0.500 0.000
Au: 0.500 0.500 0.500

=====

6.
VASP calculation (PBE) on a relaxed SbPdAuI2 crystal.

Output
The energy above the most stable polymorph in this dataset is 0 meV per atom.

Lattice parameters (Å, degrees): 5.482 5.482 5.218 90.00 90.00 90.00
Fractional positions:
Pd: 0.000 0.000 0.000
Au: 0.500 0.500 0.500
I: 0.500 0.000 0.000
I: 0.000 0.500 0.000
Sb: 0.000 0.000 0.500

=====

7.
VASP calculation (PBE) on a relaxed ScPd2AuI crystal.

Lattice parameters (Å, degrees): 4.892 5.391 4.892 90.00 90.00 90.00
Fractional positions:
I: 0.000 0.500 0.000
Pd: 0.000 0.000 0.500
Pd: 0.500 0.000 0.000
Sc: 0.000 0.000 0.000
Au: 0.500 0.500 0.500

=====

8.
VASP calculation (PBE) on a relaxed Sr6Pd2AuI3 crystal.

Lattice parameters (Å, degrees): 7.773 7.773 8.764 98.51 98.51 120.02
Fractional positions:
Au: 0.000 0.000 0.000
Pd: 0.667 0.333 0.000
Sr: 0.275 0.275 0.799
Sr: 0.933 0.592 0.799
I: 0.834 0.166 0.500
Sr: 0.408 0.067 0.201
Sr: 0.067 0.408 0.201
Sr: 0.725 0.725 0.201
Sr: 0.592 0.933 0.799
I: 0.500 0.500 0.500
Pd: 0.333 0.667 0.000
I: 0.166 0.834 0.500

=====

9.
VASP calculation (PBE) on a relaxed TaPdAu2I crystal.

Lattice parameters (Å, degrees): 5.052 5.053 5.052 90.00 90.00 90.00
Site moments in Bohr magnetons follow the coordinates.
Fractional positions:
Ta: 0.500 0.500 0.500  1.98
I: 0.000 0.500 0.000  -0.05
Au: 0.500 0.000 0.000  -0.01
Au: 0.000 0.000 0.500  -0.01
Pd: 0.000 0.000 0.000  0.01

=====

10.
VASP calculation (PBE) on a relaxed TcPdAuI2 crystal.

Lattice parameters (Å, degrees): 5.489 5.149 5.489 90.00 90.00 90.00
Site moments in Bohr magnetons follow the coordinates.
Fractional positions:
Pd: 0.000 0.500 0.000  0.01
Au: 0.000 0.000 0.000  -0.01
Tc: 0.500 0.500 0.500  3.61
I: 0.000 0.000 0.500  0.02
I: 0.500 0.000 0.000  0.03

=====

11.
VASP calculation (PBE) on a relaxed TcPdAu2I crystal.

Lattice parameters (Å, degrees): 5.099 4.998 5.099 90.00 90.00 90.00
Site moments in Bohr magnetons follow the coordinates.
Fractional positions:
Au: 0.000 0.000 0.500  -0.01
I: 0.500 0.500 0.500  -0.03
Tc: 0.000 0.500 0.000  3.29
Pd: 0.000 0.000 0.000  0.30
Au: 0.500 0.000 0.000  -0.05

=====

12.
VASP calculation (PBE) on a relaxed Tl2PdAuI6 crystal.

Lattice parameters (Å, degrees): 7.637 8.052 11.806 90.00 87.91 90.00
Fractional positions:
I: 0.206 0.197 0.470
I: 0.295 0.692 0.472
Pd: 0.000 0.500 0.000
I: 0.794 0.803 0.530
Tl: 0.028 0.915 0.256
I: 0.436 0.007 0.726
Tl: 0.972 0.085 0.744
I: 0.564 0.993 0.274
I: 0.705 0.308 0.528
I: 0.294 0.697 0.030
Au: 0.500 0.000 0.000
I: 0.205 0.192 0.028
I: 0.706 0.303 0.970
Tl: 0.472 0.415 0.244
Pd: 0.500 0.000 0.500
Au: 0.000 0.500 0.500
I: 0.064 0.507 0.774
I: 0.795 0.808 0.972
Tl: 0.528 0.585 0.756
I: 0.936 0.493 0.226

=====

13.
VASP calculation (PBE) on a relaxed Pm4Au2I5 crystal.

Lattice parameters (Å, degrees): 4.074 8.856 15.376 106.74 97.61 90.00
Fractional positions:
Pm: 0.000 0.700 0.000
Pm: 0.645 0.645 0.289
I: 0.826 0.570 0.651
Au: 0.548 0.548 0.096
I: 0.174 0.430 0.349
Pm: 0.000 0.300 0.000
I: 0.174 0.919 0.349
Pm: 0.355 0.355 0.711
Au: 0.452 0.452 0.904
I: 0.826 0.081 0.651
I: 0.500 0.000 0.000

=====

14.
VASP calculation (PBE) on a relaxed PmAu2I6 crystal.

Lattice parameters (Å, degrees): 7.500 7.500 9.200 65.95 65.95 60.00
Fractional positions:
Au: 0.730 0.730 0.809
I: 0.592 0.942 0.240
I: 0.227 0.592 0.240
Au: 0.603 0.603 0.192
I: 0.751 0.387 0.761
I: 0.942 0.227 0.240
I: 0.387 0.101 0.761
Pm: 0.333 0.333 0.000
I: 0.101 0.751 0.761

=====

15.
VASP calculation (PBE) on a relaxed Pm7AuI12 crystal.

Lattice parameters (Å, degrees): 9.970 9.970 9.970 107.93 107.93 107.93
Fractional positions:
Pm: 0.500 0.500 0.500
I: 0.605 0.523 0.844
Pm: 0.959 0.679 0.887
I: 0.395 0.477 0.156
I: 0.477 0.156 0.395
I: 0.076 0.687 0.226
Pm: 0.679 0.887 0.959
Au: 0.000 0.000 0.000
Pm: 0.321 0.113 0.041
I: 0.774 0.924 0.313
I: 0.313 0.774 0.924
Pm: 0.041 0.321 0.113
I: 0.523 0.844 0.605
I: 0.687 0.226 0.076
Pm: 0.887 0.959 0.679
Pm: 0.113 0.041 0.321
I: 0.156 0.395 0.477
I: 0.226 0.076 0.687
I: 0.924 0.313 0.774
I: 0.844 0.605 0.523

=====

16.
VASP calculation (PBE) on a relaxed PmAuI4 crystal.

Lattice parameters (Å, degrees): 4.471 8.203 15.040 88.11 90.00 90.00
Fractional positions:
Pm: 0.500 0.500 0.000
I: 0.505 0.878 0.632
I: 0.495 0.122 0.368
Au: 0.000 0.000 0.000
I: 0.995 0.378 0.132
I: 0.114 0.330 0.600
I: 0.614 0.170 0.900
I: 0.886 0.670 0.400
Au: 0.500 0.500 0.500
Pm: 0.000 0.000 0.500
I: 0.386 0.830 0.100
I: 0.005 0.622 0.868

=====

17.
VASP calculation (PBE) on a relaxed PmAuI6 crystal.

Lattice parameters (Å, degrees): 9.475 10.351 7.973 58.92 59.17 36.94
Fractional positions:
I: 0.387 0.776 0.706
I: 0.722 0.086 0.861
I: 0.613 0.224 0.294
Au: 0.000 0.000 0.000
Pm: 0.500 0.500 0.500
I: 0.886 0.473 0.330
I: 0.114 0.527 0.670
I: 0.278 0.914 0.139

=====

18.
VASP calculation (PBE) on a relaxed Pm3AuI3 crystal.

Lattice parameters (Å, degrees): 10.893 10.893 10.893 109.47 109.47 109.47
Fractional positions:
Pm: 0.767 0.750 0.233
Pm: 0.517 0.034 0.267
I: 0.007 0.757 0.515
Au: 0.750 0.250 0.250
I: 0.493 0.985 0.743
Pm: 0.733 0.267 0.750
I: 0.015 0.507 0.757
Pm: 0.983 0.233 0.466
I: 0.007 0.250 0.993
I: 0.243 0.993 0.985
Pm: 0.983 0.750 0.017
Pm: 0.517 0.483 0.750
I: 0.493 0.507 0.250
I: 0.257 0.515 0.507
Pm: 0.733 0.466 0.483
Pm: 0.534 0.267 0.017
Pm: 0.966 0.483 0.233
Au: 0.000 0.000 0.250
Au: 0.750 0.500 0.000
Pm: 0.250 0.233 0.267
I: 0.485 0.743 0.993
I: 0.243 0.250 0.757
Pm: 0.767 0.017 0.034
I: 0.750 0.757 0.743
I: 0.257 0.743 0.250
Pm: 0.250 0.017 0.483
I: 0.750 0.993 0.507
Au: 0.500 0.250 0.500

=====

19.
VASP calculation (PBE) on a relaxed PmAuI crystal.

Output
The energy above the most stable polymorph in this dataset is 289 meV per atom.

Lattice parameters (Å, degrees): 3.784 3.784 6.850 106.03 106.03 90.00
Fractional positions:
Au: 0.303 0.303 0.606
Pm: 0.678 0.678 0.356
I: 0.019 0.019 0.038

=====

20.
VASP calculation (PBE) on a relaxed PmAuI crystal.

Output
The energy above the most stable polymorph in this dataset is 0 meV per atom.

Lattice parameters (Å, degrees): 4.735 4.735 11.355 78.01 78.01 59.99
Fractional positions:
Pm: 0.550 0.550 0.349
Au: 0.833 0.833 0.500
Au: 0.167 0.167 0.500
Pm: 0.450 0.450 0.651
I: 0.726 0.726 0.825
I: 0.274 0.274 0.175

=====

21.
VASP calculation (PBE) on a relaxed Pm2AuI8 crystal.

Lattice parameters (Å, degrees): 11.001 8.965 8.965 48.98 74.82 74.82
Fractional positions:
I: 0.875 0.374 0.860
I: 0.418 0.211 0.211
Pm: 0.319 0.766 0.766
I: 0.125 0.626 0.140
Au: 0.000 0.000 0.000
Pm: 0.681 0.234 0.234
I: 0.582 0.789 0.789
I: 0.707 0.405 0.405
I: 0.125 0.140 0.626
I: 0.875 0.860 0.374
I: 0.293 0.595 0.595

=====

22.
VASP calculation (PBE) on a relaxed Pm2AuI crystal.

Output
The energy above the most stable polymorph in this dataset is 0 meV per atom.

Lattice parameters (Å, degrees): 4.301 4.301 8.309 75.00 75.00 60.00
Fractional positions:
Pm: 0.735 0.735 0.795
I: 0.500 0.500 0.500
Au: 0.000 0.000 0.000
Pm: 0.265 0.265 0.205

=====

23.
VASP calculation (PBE) on a relaxed Pm3AuI7 crystal.

Lattice parameters (Å, degrees): 7.456 8.806 8.806 120.00 90.00 90.00
Fractional positions:
Au: 0.560 0.333 0.667
I: 0.538 0.834 0.668
I: 0.032 0.667 0.333
I: 0.025 0.169 0.338
I: 0.538 0.834 0.166
I: 0.025 0.662 0.831
Pm: 0.777 0.005 0.503
Pm: 0.777 0.497 0.503
I: 0.538 0.332 0.166
Pm: 0.777 0.497 0.995
I: 0.025 0.169 0.831

=====

Summary of electronic total energy in eV/atom
-2.5807 -2.5470 -2.2739 -4.0006 -3.1416 -2.6724 -3.8753 -3.3449 -3.7527 -3.1345 -3.6740 -2.5615 -3.9859 -2.8556 -4.0066 -3.2566 -2.8156 -4.2492 -3.9161 -4.2053 -3.1806 -4.4113 -3.7700
(order as listed above)